Entry 1:
Computed, not measured: crystalline ReOs2Se at its relaxed geometry at the PBE level of DFT.

a = 2.8849 Å, b = 2.8849 Å, c = 7.2235 Å
α = 90.00°, β = 90.00°, γ = 90.00°
Closest atoms and distances in Å follow each position.
Positions (direct):
Re (0.5000, 0.5000, 0.2500)  8 Os 2.71, 4 Re 2.88
Se (0.5000, 0.5000, 0.7500)  8 Os 2.74, 4 Se 2.88
Os (0.0000, 0.0000, 0.4976)  4 Re 2.71, 4 Se 2.74, 4 Os 2.88
Os (0.0000, 0.0000, 0.0024)  4 Re 2.71, 4 Se 2.74, 4 Os 2.88

* formation energy without anion corrections: 436.3 meV/atom
* magnetic moment: 0.00 Bohr magnetons per cell
* symmetry: P4/mmm
* V: 60.1 Å³/cell

---

Entry 2:
Computed, not measured: crystalline Sb2Au at its relaxed geometry at the PBE level of DFT.

a = 6.7879 Å, b = 6.7879 Å, c = 6.7879 Å
α = 90.00°, β = 90.00°, γ = 90.00°
Closest atoms and distances in Å follow each position.
Positions (direct):
Sb (0.1238, 0.6238, 0.8762)  3 Au 2.82, 1 Sb 2.91
Sb (0.8762, 0.1238, 0.6238)  3 Au 2.82, 1 Sb 2.91
Sb (0.6238, 0.8762, 0.1238)  3 Au 2.82, 1 Sb 2.91
Sb (0.3762, 0.3762, 0.3762)  3 Au 2.82, 1 Sb 2.91
Sb (0.8762, 0.3762, 0.1238)  3 Au 2.82, 1 Sb 2.91
Sb (0.1238, 0.8762, 0.3762)  3 Au 2.82, 1 Sb 2.91
Sb (0.6238, 0.6238, 0.6238)  3 Au 2.82, 1 Sb 2.91
Sb (0.3762, 0.1238, 0.8762)  3 Au 2.82, 1 Sb 2.91
Au (0.5000, 0.0000, 0.5000)  6 Sb 2.82
Au (0.5000, 0.5000, 0.0000)  6 Sb 2.82
Au (0.0000, 0.5000, 0.5000)  6 Sb 2.82
Au (0.0000, 0.0000, 0.0000)  6 Sb 2.82

* formation energy without anion corrections: -68.2 meV/atom
* magnetic moment: 0.00 Bohr magnetons per cell
* symmetry: Pa-3
* V: 312.8 Å³/cell

---

Entry 3:
Computed, not measured: crystalline Ce5Tc2Os at its relaxed geometry at the PBE level of DFT.

a = 5.4056 Å, b = 6.8140 Å, c = 13.6412 Å
α = 90.00°, β = 90.00°, γ = 113.37°
Closest atoms and distances in Å follow each position.
Positions (direct):
Os (0.2007, 0.4013, 0.2500)  6 Ce 2.69-2.96
Os (0.7993, 0.5987, 0.7500)  6 Ce 2.69-2.96
Tc (0.1421, 0.2843, 0.5684)  1 Ce 2.37
Tc (0.8579, 0.7157, 0.0684)  1 Ce 2.37
Tc (0.8579, 0.7157, 0.4316)  1 Ce 2.37
Tc (0.1421, 0.2843, 0.9316)  1 Ce 2.37
Ce (0.0391, 0.0783, 0.3803)  1 Tc 2.37
Ce (0.9609, 0.9217, 0.8803)  1 Tc 2.37
Ce (0.3348, 0.6696, 0.0710)  2 Tc 2.72, 1 Os 2.96
Ce (0.6652, 0.3304, 0.9290)  2 Tc 2.72, 1 Os 2.96
Ce (0.3348, 0.6696, 0.4290)  2 Tc 2.72, 1 Os 2.96
Ce (0.6652, 0.3304, 0.5710)  2 Tc 2.72, 1 Os 2.96
Ce (0.2681, 0.5363, 0.7500)  2 Os 2.73, 2 Tc 2.94
Ce (0.0391, 0.0783, 0.1197)  1 Tc 2.37
Ce (0.7319, 0.4637, 0.2500)  2 Os 2.73, 2 Tc 2.94
Ce (0.9609, 0.9217, 0.6197)  1 Tc 2.37

* formation energy: 0.05 eV per atom
* magnetic moment: 3.33 Bohr magnetons per cell
* symmetry: Cmcm
* V: 461.2 Å³/cell

---

DFT total energy
In order: -36.65; -11.73; -61.22
Unit: eV per formula unit